Compound: Na2LiZn
Source: OQMD via LeMat-Bulk
Functional: GGA-PBE
Structure: optimized geometry

uncorrected energy: -0.05101 hartree per atom

Lattice parameters (Å, degrees): 5.064 5.064 5.064 60.00 60.00 60.00
Atoms (fractional coordinates):
Na  0.000  0.000  0.000
Na  0.250  0.250  0.250
Li  0.750  0.750  0.750
Zn  0.500  0.500  0.500

---

Compound: LiNb
Source: OQMD via LeMat-Bulk
Functional: GGA-PBE
Structure: optimized geometry

uncorrected energy: -0.13151 hartree per atom

Lattice parameters (Å, degrees): 3.816 3.816 6.229 90.00 90.00 120.00
Atoms (fractional coordinates):
Li  0.333  0.667  0.000
Li  0.667  0.333  0.500
Nb  0.333  0.667  0.375
Nb  0.667  0.333  0.875

---

Compound: LiNb
Source: OQMD via LeMat-Bulk
Functional: GGA-PBE
Structure: optimized geometry

uncorrected energy: -0.18655 hartree per atom

Lattice parameters (Å, degrees): 4.261 4.261 3.748 90.00 90.00 120.00
Atoms (fractional coordinates):
Li  0.000  0.000  0.000
Li  0.000  0.000  0.500
Nb  0.333  0.667  0.250
Nb  0.667  0.333  0.750

---

Compound: LiNb
Source: OQMD via LeMat-Bulk
Functional: GGA-PBE
Structure: optimized geometry

uncorrected energy: -0.13070 hartree per atom

Lattice parameters (Å, degrees): 3.789 3.789 3.789 60.00 60.00 60.00
Atoms (fractional coordinates):
Li  0.000  0.000  0.000
Nb  0.750  0.750  0.750

---

Compound: LiNb
Source: OQMD via LeMat-Bulk
Functional: GGA-PBE
Structure: optimized geometry

uncorrected energy: -0.17496 hartree per atom

Lattice parameters (Å, degrees): 3.933 3.933 5.246 90.00 90.00 120.00
Atoms (fractional coordinates):
Li  0.333  0.667  0.250
Li  0.667  0.333  0.750
Nb  0.000  0.000  0.000
Nb  0.000  0.000  0.500

---

Compound: LiNb
Source: OQMD via LeMat-Bulk
Functional: GGA-PBE
Structure: optimized geometry

uncorrected energy: -0.17442 hartree per atom

Lattice parameters (Å, degrees): 3.543 3.543 3.543 60.00 60.00 60.00
Atoms (fractional coordinates):
Li  0.000  0.000  0.000
Nb  0.500  0.500  0.500

---

Compound: LiNb
Source: OQMD via LeMat-Bulk
Functional: GGA-PBE
Structure: optimized geometry

uncorrected energy: -0.20745 hartree per atom

Lattice parameters (Å, degrees): 2.764 2.764 5.215 90.00 90.00 120.00
Atoms (fractional coordinates):
Li  0.000  0.000  0.000
Nb  0.667  0.333  0.500

---

Compound: LiNb2Ni
Source: OQMD via LeMat-Bulk
Functional: GGA-PBE
Structure: optimized geometry

uncorrected energy: -0.23970 hartree per atom

Lattice parameters (Å, degrees): 4.408 4.408 4.408 60.00 60.00 60.00
Atoms (fractional coordinates):
Li  0.000  0.000  0.000
Nb  0.500  0.500  0.500
Nb  0.750  0.750  0.750
Ni  0.250  0.250  0.250

---

Compound: Li2Nb2Ni3
Source: OQMD via LeMat-Bulk
Functional: GGA-PBE
Structure: optimized geometry

uncorrected energy: -0.20949 hartree per atom

Lattice parameters (Å, degrees): 7.020 7.020 7.020 34.07 34.07 34.07
Atoms (fractional coordinates):
Li  0.000  0.000  0.000
Li  0.492  0.492  0.492
Nb  0.238  0.238  0.238
Nb  0.750  0.750  0.750
Ni  0.366  0.366  0.366
Ni  0.622  0.622  0.622
Ni  0.875  0.875  0.875

---

Compound: LiNbNiPb
Source: OQMD via LeMat-Bulk
Functional: GGA-PBE
Structure: optimized geometry

uncorrected energy: -0.18811 hartree per atom

Lattice parameters (Å, degrees): 4.480 4.480 4.480 60.00 60.00 60.00
Atoms (fractional coordinates):
Li  0.000  0.000  0.000
Nb  0.750  0.750  0.750
Ni  0.500  0.500  0.500
Pb  0.250  0.250  0.250

---

Compound: LiNbNiPb
Source: OQMD via LeMat-Bulk
Functional: GGA-PBE
Structure: optimized geometry

uncorrected energy: -0.18111 hartree per atom

Lattice parameters (Å, degrees): 4.592 4.592 4.592 60.00 60.00 60.00
Atoms (fractional coordinates):
Li  0.000  0.000  0.000
Nb  0.250  0.250  0.250
Ni  0.750  0.750  0.750
Pb  0.500  0.500  0.500

---

Compound: LiNbNiS3
Source: OQMD via LeMat-Bulk
Functional: GGA-PBE
Structure: optimized geometry

uncorrected energy: -0.21730 hartree per atom

Lattice parameters (Å, degrees): 6.429 6.429 9.328 90.00 90.00 149.67
Atoms (fractional coordinates):
Li  0.226  0.774  0.750
Li  0.774  0.226  0.250
Nb  0.000  0.000  0.000
Nb  0.000  0.000  0.500
Ni  0.473  0.527  0.250
Ni  0.527  0.473  0.750
S  0.091  0.909  0.250
S  0.360  0.640  0.066
S  0.360  0.640  0.434
S  0.640  0.360  0.566
S  0.640  0.360  0.934
S  0.909  0.091  0.750